Entry 1:
A PBEsol-optimized structure of Ta2C. Source: Alexandria via LeMat-Bulk, functional SCAN.

Unit cell a=3.0969 b=3.0969 c=4.9222 alpha=90.00 beta=90.00 gamma=120.00
Space group P-3m1 (No. 164)
Symmetry-distinct sites (fractional):
Ta 0.3333 0.6667 0.2532 (multiplicity 2)
C 0.0000 0.0000 0.0000 (multiplicity 1)

Results
Total magnetization   0.00 μB per cell
Density of states at the Fermi level   0.184 states/eV per atom
ΔH_f (0 K)   -0.613 eV/atom

Entry 2:
A PBEsol-optimized structure of Ta4C5. Source: Alexandria via LeMat-Bulk, functional SCAN.

Unit cell a=8.0737 b=8.0737 c=2.9532 alpha=90.00 beta=90.00 gamma=90.00
Space group I4/mmm (No. 139)
Symmetry-distinct sites (fractional):
Ta 0.0000 0.2596 0.0000 (multiplicity 8)
C 0.0000 0.0000 0.0000 (multiplicity 2)
C 0.2139 0.2139 0.5000 (multiplicity 8)

Results
Total magnetization   0.00 μB per cell
Density of states at the Fermi level   0.401 states/eV per atom
ΔH_f (0 K)   0.428 eV/atom